No. 1
LuPuHgAu GGA-PBE optimized geometry; size of the total moment = 5.855 μB per formula unit; V = 97.6 Å³/cell; energy of formation from the pure elements = -0.412 eV per atom
1.0
0.000 3.655 3.655
3.655 0.000 3.655
3.655 3.655 0.000
Lu Pu Hg Au
1 1 1 1
direct
0.000 0.000 0.000 Lu
0.500 0.500 0.500 Pu
0.750 0.750 0.750 Hg
0.250 0.250 0.250 Au


No. 2
LuScHgAu GGA-PBE optimized geometry; size of the total moment = 0.001 μB per formula unit; V = 87.8 Å³/cell; energy of formation from the pure elements = -0.632 eV per atom
1.0
0.000 3.528 3.528
3.528 0.000 3.528
3.528 3.528 0.000
Lu Sc Hg Au
1 1 1 1
direct
0.000 0.000 0.000 Lu
0.500 0.500 0.500 Sc
0.250 0.250 0.250 Hg
0.750 0.750 0.750 Au